Entry 1:
Compound: Pm2SmNi
Source: the Alexandria database
Functional: GGA-PBE
Structure: optimized geometry

Properties
E_tot: -4.8942 eV per atom
M_tot: 0.22 μB per formula unit
offset from the most stable computed form: 295 meV per atom
DFT formation energy: 0.1062 eV per atom
theoretical density: 6.7 g/cm3

a b c (Å): 3.6657 3.6657 31.6520
angles (deg): 90.00 90.00 120.00
Space group R-3m (No. 166, hexagonal axes)
Symmetry-distinct sites (fractional):
Pm 0.0000 0.0000 0.1111 x6
Sm 0.0000 0.0000 0.0000 x3
Ni 0.0000 0.0000 0.5000 x3

***

Entry 2:
Compound: PmSmNi
Source: the Alexandria database
Functional: GGA-PBE
Structure: optimized geometry

Properties
E_tot: -5.3004 eV per atom
M_tot: 0.00 μB per formula unit
offset from the most stable computed form: 0 meV per atom
DFT formation energy: -0.2167 eV per atom
theoretical density: 7.4 g/cm3

a b c (Å): 3.784 7.006 7.161
angles (deg): 119.08 105.32 90.09
Space group P-1 (No. 2)
Symmetry-distinct sites (fractional):
Pm 0.222 0.223 0.444 x2
Sm 0.499 0.256 0.999 x2
Ni 0.111 0.609 0.221 x2

***

Entry 3:
Compound: Pm12SmNi6
Source: the Alexandria database
Functional: GGA-PBE
Structure: optimized geometry

Properties
E_tot: -5.1072 eV per atom
M_tot: 0.00 μB per formula unit
offset from the most stable computed form: 153 meV per atom
DFT formation energy: -0.0328 eV per atom
theoretical density: 7.2 g/cm3

a b c (Å): 13.5042 13.5042 9.8629
angles (deg): 90.00 90.00 120.00
Space group R-3m (No. 166, hexagonal axes)
Symmetry-distinct sites (fractional):
Pm 0.0000 0.3793 0.0000 x18
Pm 0.0865 0.1731 0.8506 x18
Sm 0.0000 0.0000 0.5000 x3
Ni 0.0368 0.5184 0.7614 x18

***

Entry 4:
Compound: PmSm2Ni9
Source: the Alexandria database
Functional: GGA-PBE
Structure: optimized geometry

Properties
E_tot: -5.8648 eV per atom
M_tot: 0.80 μB per formula unit
DFT formation energy: -0.3464 eV per atom
theoretical density: 9.0 g/cm3

a b c (Å): 5.0160 5.0160 24.6223
angles (deg): 90.00 90.00 120.00
Space group R-3m (No. 166, hexagonal axes)
Symmetry-distinct sites (fractional):
Pm 0.0000 0.0000 0.0000 x3
Sm 0.0000 0.0000 0.1389 x6
Ni 0.0000 0.0000 0.3328 x6
Ni 0.0000 0.0000 0.5000 x3
Ni 0.0002 0.5001 0.0814 x18

***

Entry 5:
Compound: Pm3SmNi8
Source: the Alexandria database
Functional: GGA-PBE
Structure: optimized geometry

Properties
E_tot: -5.7824 eV per atom
M_tot: 0.00 μB per formula unit
DFT formation energy: -0.3473 eV per atom
theoretical density: 9.1 g/cm3

a b c (Å): 5.1412 5.1412 25.2455
angles (deg): 90.00 90.00 120.00
Space group R3m (No. 160, hexagonal axes)
Symmetry-distinct sites (fractional):
Pm 0.0000 0.0000 0.0000 x3
Pm 0.0000 0.0000 0.1250 x3
Pm 0.0000 0.0000 0.5001 x3
Sm 0.0000 0.0000 0.6250 x3
Ni 0.0000 0.0000 0.3124 x3
Ni 0.0000 0.0000 0.8125 x3
Ni 0.9996 0.4998 0.0623 x9
Ni 0.0000 0.5000 0.5627 x9

***

Entry 6:
Compound: PmSm2Ni
Source: the Alexandria database
Functional: GGA-PBE
Structure: optimized geometry

Properties
E_tot: -5.1855 eV per atom
M_tot: 0.00 μB per formula unit
offset from the most stable computed form: 0 meV per atom
DFT formation energy: -0.1930 eV per atom
theoretical density: 7.5 g/cm3

a b c (Å): 6.991 9.861 6.456
angles (deg): 90.00 90.00 90.00
Space group Pnma (No. 62)
Symmetry-distinct sites (fractional):
Pm 0.034 0.250 0.143 x4
Sm 0.177 0.067 0.675 x8
Ni 0.112 0.750 0.434 x4

***

Entry 7:
Compound: Pm12SmNi6
Source: the Alexandria database
Functional: GGA-PBE
Structure: optimized geometry

Properties
E_tot: -5.2598 eV per atom
M_tot: 0.00 μB per formula unit
offset from the most stable computed form: 0 meV per atom
DFT formation energy: -0.1853 eV per atom
theoretical density: 7.2 g/cm3

a b c (Å): 10.095 10.095 10.095
angles (deg): 90.00 90.00 90.00
Space group Im-3 (No. 204)
Symmetry-distinct sites (fractional):
Pm 0.000 0.312 0.185 x24
Sm 0.000 0.000 0.000 x2
Ni 0.000 0.122 0.500 x12

***

Entry 8:
Compound: Pm2SmNi
Source: the Alexandria database
Functional: GGA-PBE
Structure: optimized geometry

Properties
E_tot: -5.0575 eV per atom
M_tot: 0.00 μB per formula unit
offset from the most stable computed form: 131 meV per atom
DFT formation energy: -0.0570 eV per atom
theoretical density: 7.0 g/cm3

a b c (Å): 3.8579 3.8579 27.6351
angles (deg): 90.00 90.00 120.00
Space group R3m (No. 160, hexagonal axes)
Symmetry-distinct sites (fractional):
Pm 0.0000 0.0000 0.0000 x3
Pm 0.0000 0.0000 0.2135 x3
Sm 0.0000 0.0000 0.7726 x3
Ni 0.0000 0.0000 0.6072 x3